## TmGa6Ni6 (PBE)

Data for a relaxed TmGa6Ni6 crystal.

Summary:
For the magnetization, the calculation gives 0.0003 μB/atom.

Unit cell a=6.4790 b=6.4790 c=6.4790 alpha=134.45 beta=101.19 gamma=96.06
Last column: nearest neighbours and their distance in Å.
Positions (direct):
Ga 0.3444 0.3444 0.0000  6 Ni 2.54-2.55, 1 Ga 2.70
Ga 0.6556 0.6556 0.0000  6 Ni 2.54-2.55, 1 Ga 2.70
Ga 0.3421 0.0000 0.3421  1 Ga 2.60, 6 Ni 2.62-2.65, 1 Tm 2.81
Ga 0.8161 0.3161 0.5000  6 Ni 2.48-2.52
Ga 0.1839 0.6839 0.5000  6 Ni 2.48-2.52
Ga 0.6579 0.0000 0.6579  1 Ga 2.60, 6 Ni 2.62-2.65, 1 Tm 2.81
Ni 0.5000 0.0000 0.0000  6 Ga 2.48-2.62, 4 Ni 2.51
Ni 0.0000 0.5000 0.0000  6 Ga 2.48-2.62, 4 Ni 2.51
Ni 0.7628 0.5000 0.2628  4 Ni 2.51, 6 Ga 2.52-2.65
Ni 0.0000 0.0000 0.5000  6 Ga 2.48-2.62, 4 Ni 2.51
Ni 0.5000 0.5000 0.5000  6 Ga 2.48-2.62, 4 Ni 2.51
Ni 0.2372 0.5000 0.7372  4 Ni 2.51, 6 Ga 2.52-2.65
Tm 0.0000 0.0000 0.0000  8 Ga 2.81-2.98



## Tm4Ga12Ni (PBE)

Data for a relaxed Tm4Ga12Ni crystal.

Summary:
For the magnetization, the calculation gives 0.0003 μB/atom.

Unit cell a=7.3758 b=7.3758 c=7.3758 alpha=109.47 beta=109.47 gamma=109.47
Last column: nearest neighbours and their distance in Å.
Positions (direct):
Ga 0.2869 0.2869 0.0000  1 Ni 2.44
Ga 0.7131 0.7131 0.0000  1 Ni 2.44
Ga 0.7500 0.5000 0.2500  8 Ga 2.80-3.01, 4 Tm 3.01
Ga 0.5000 0.7500 0.2500  8 Ga 2.80-3.01, 4 Tm 3.01
Ga 0.2869 0.0000 0.2869  1 Ni 2.44
Ga 0.0000 0.2869 0.2869  1 Ni 2.44
Ga 0.7500 0.2500 0.5000  8 Ga 2.80-3.01, 4 Tm 3.01
Ga 0.2500 0.7500 0.5000  8 Ga 2.80-3.01, 4 Tm 3.01
Ga 0.7131 0.0000 0.7131  1 Ni 2.44
Ga 0.0000 0.7131 0.7131  1 Ni 2.44
Ga 0.5000 0.2500 0.7500  8 Ga 2.80-3.01, 4 Tm 3.01
Ga 0.2500 0.5000 0.7500  8 Ga 2.80-3.01, 4 Tm 3.01
Ni 0.0000 0.0000 0.0000  6 Ga 2.44
Tm 0.5000 0.0000 0.0000  12 Ga 3.01-3.03
Tm 0.0000 0.5000 0.0000  12 Ga 3.01-3.03
Tm 0.0000 0.0000 0.5000  12 Ga 3.01-3.03
Tm 0.5000 0.5000 0.5000  12 Ga 3.01-3.03



## TmGa2Ni3 (PBE)

Data for a relaxed TmGa2Ni3 crystal.

Summary:
For the magnetization, the calculation gives 0.0002 μB/atom.

Unit cell a=8.8362 b=8.8362 c=3.9373 alpha=90.00 beta=90.00 gamma=120.00
Last column: nearest neighbours and their distance in Å.
Positions (direct):
Ga 0.3163 0.0000 0.5000  6 Ni 2.44-2.55
Ga 0.6837 0.0000 0.5000  6 Ni 2.44-2.55
Ga 0.0000 0.3163 0.5000  6 Ni 2.44-2.55
Ga 0.3163 0.3163 0.5000  6 Ni 2.44-2.55
Ga 0.0000 0.6837 0.5000  6 Ni 2.44-2.55
Ga 0.6837 0.6837 0.5000  6 Ni 2.44-2.55
Ni 0.5000 0.0000 0.0000  4 Ni 2.45, 4 Ga 2.55
Ni 0.3606 0.1803 0.0000  4 Ga 2.44, 2 Ni 2.45
Ni 0.8197 0.1803 0.0000  4 Ga 2.44, 2 Ni 2.45
Ni 0.1803 0.3606 0.0000  4 Ga 2.44, 2 Ni 2.45
Ni 0.0000 0.5000 0.0000  4 Ni 2.45, 4 Ga 2.55
Ni 0.5000 0.5000 0.0000  4 Ni 2.45, 4 Ga 2.55
Ni 0.8197 0.6394 0.0000  4 Ga 2.44, 2 Ni 2.45
Ni 0.1803 0.8197 0.0000  4 Ga 2.44, 2 Ni 2.45
Ni 0.6394 0.8197 0.0000  4 Ga 2.44, 2 Ni 2.45
Tm 0.0000 0.0000 0.0000  6 Ni 2.76
Tm 0.6667 0.3333 0.5000  6 Ga 3.02, 12 Ni 3.06-3.22
Tm 0.3333 0.6667 0.5000  6 Ga 3.02, 12 Ni 3.06-3.22



## Y2TmGa3Ni3 (PBE)

Data for a relaxed Y2TmGa3Ni3 crystal.

Summary:
For the magnetization, the calculation gives 0.0003 μB/atom.

Unit cell a=3.7421 b=6.9919 c=6.9919 alpha=119.77 beta=90.00 gamma=90.00
Last column: nearest neighbours and their distance in Å.
Positions (direct):
Ga 0.5000 0.2466 0.0020  4 Ni 2.53-2.74
Ga 0.5000 0.0020 0.2466  4 Ni 2.53-2.74
Ga 0.5000 0.7522 0.7522  4 Ni 2.57-2.66
Ni 0.0000 0.0034 0.0034  6 Ga 2.53-2.57
Ni 0.5000 0.6615 0.3356  3 Ga 2.66-2.74, 2 Tm 2.79, 4 Y 2.84
Ni 0.5000 0.3356 0.6615  3 Ga 2.66-2.74, 2 Tm 2.79, 4 Y 2.84
Tm 0.0000 0.4109 0.4109  5 Ni 2.79-2.86, 6 Ga 3.04-3.12
Y 0.0000 0.5879 0.0000  5 Ni 2.84-2.89, 6 Ga 3.04-3.15
Y 0.0000 0.0000 0.5879  5 Ni 2.84-2.89, 6 Ga 3.04-3.15



## YTmGa2Ni4 (PBE)

Data for a relaxed YTmGa2Ni4 crystal.

Summary:
For the magnetization, the calculation gives 0.0003 μB/atom.

Unit cell a=4.1420 b=4.1420 c=8.8259 alpha=90.00 beta=90.00 gamma=120.00
Last column: nearest neighbours and their distance in Å.
Positions (direct):
Ga 0.6667 0.3333 0.2477  6 Ni 2.45-2.46
Ga 0.6667 0.3333 0.7523  6 Ni 2.45-2.46
Ni 0.3333 0.6667 0.1806  3 Ga 2.46, 3 Ni 2.65
Ni 0.0000 0.0000 0.3093  3 Ga 2.45, 3 Ni 2.65, 1 Tm 2.73
Ni 0.0000 0.0000 0.6907  3 Ga 2.45, 3 Ni 2.65, 1 Tm 2.73
Ni 0.3333 0.6667 0.8194  3 Ga 2.46, 3 Ni 2.65
Tm 0.0000 0.0000 0.0000  8 Ni 2.73-2.87
Y 0.3333 0.6667 0.5000  8 Ni 2.82-2.92



## U2GaNi3 (PBE)

Data for a relaxed U2GaNi3 crystal.

Summary:
For the magnetization, the calculation gives 0.5053 μB/atom.

Unit cell a=5.2394 b=5.2394 c=7.6980 alpha=90.00 beta=90.00 gamma=120.00
Last column: nearest neighbours and their distance in Å.
Positions (direct):
Ga 0.0000 0.0000 0.0000  6 Ni 2.49
Ga 0.0000 0.0000 0.5000  6 Ni 2.49
Ni 0.1737 0.3474 0.2500  2 Ga 2.49, 4 Ni 2.51-2.73
Ni 0.1737 0.8263 0.2500  2 Ga 2.49, 4 Ni 2.51-2.73
Ni 0.6526 0.8263 0.2500  2 Ga 2.49, 4 Ni 2.51-2.73
Ni 0.3474 0.1737 0.7500  2 Ga 2.49, 4 Ni 2.51-2.73
Ni 0.8263 0.1737 0.7500  2 Ga 2.49, 4 Ni 2.51-2.73
Ni 0.8263 0.6526 0.7500  2 Ga 2.49, 4 Ni 2.51-2.73
U 0.6667 0.3333 0.0755  1 U 2.69, 9 Ni 2.89-2.94
U 0.6667 0.3333 0.4245  1 U 2.69, 9 Ni 2.89-2.94
U 0.3333 0.6667 0.5755  1 U 2.69, 9 Ni 2.89-2.94
U 0.3333 0.6667 0.9245  1 U 2.69, 9 Ni 2.89-2.94



## GaNiW (PBE)

Data for a relaxed GaNiW crystal.

Summary:
For the magnetization, the calculation gives 0.0049 μB/atom.

Unit cell a=4.1340 b=4.1340 c=4.1340 alpha=60.00 beta=60.00 gamma=60.00
Last column: nearest neighbours and their distance in Å.
Positions (direct):
Ga 0.2500 0.2500 0.2500  4 W 2.53
Ni 0.7500 0.7500 0.7500  4 W 2.53
W 0.0000 0.0000 0.0000  4 Ga 2.53, 4 Ni 2.53



## GaNiW2 (PBE)

Data for a relaxed GaNiW2 crystal.

Summary:
For the magnetization, the calculation gives 0.0002 μB/atom.

Unit cell a=4.3603 b=4.3603 c=4.3603 alpha=60.00 beta=60.00 gamma=60.00
Last column: nearest neighbours and their distance in Å.
Positions (direct):
Ga 0.5000 0.5000 0.5000  4 Ni 2.67, 4 W 2.67
Ni 0.2500 0.2500 0.2500  4 Ga 2.67, 4 W 2.67
W 0.0000 0.0000 0.0000  4 W 2.67, 4 Ni 2.67
W 0.7500 0.7500 0.7500  4 Ga 2.67, 4 W 2.67



## GaNi6W (PBE)

Data for a relaxed GaNi6W crystal.

Summary:
For the magnetization, the calculation gives 0.0070 μB/atom.

Unit cell a=3.6118 b=3.6118 c=7.2052 alpha=90.00 beta=90.00 gamma=90.00
Last column: nearest neighbours and their distance in Å.
Positions (direct):
Ga 0.0000 0.0000 0.0000  12 Ni 2.55-2.56
Ni 0.5000 0.5000 0.0000  4 Ga 2.55, 8 Ni 2.56
Ni 0.5000 0.0000 0.2521  8 Ni 2.54-2.56, 2 W 2.54, 2 Ga 2.56
Ni 0.0000 0.5000 0.2521  8 Ni 2.54-2.56, 2 W 2.54, 2 Ga 2.56
Ni 0.5000 0.5000 0.5000  8 Ni 2.54, 4 W 2.55
Ni 0.5000 0.0000 0.7479  8 Ni 2.54-2.56, 2 W 2.54, 2 Ga 2.56
Ni 0.0000 0.5000 0.7479  2 W 2.54, 8 Ni 2.54-2.56, 2 Ga 2.56
W 0.0000 0.0000 0.5000  12 Ni 2.54-2.55



## GaNi2W (PBE)

Data for a relaxed GaNi2W crystal.

Summary:
For the magnetization, the calculation gives 0.0002 μB/atom.

Unit cell a=4.1855 b=4.1855 c=4.1855 alpha=60.00 beta=60.00 gamma=60.00
Last column: nearest neighbours and their distance in Å.
Positions (direct):
Ga 0.5000 0.5000 0.5000  4 Ni 2.56, 4 W 2.56
Ni 0.0000 0.0000 0.0000  4 Ni 2.56, 4 W 2.56
Ni 0.7500 0.7500 0.7500  4 Ga 2.56, 4 Ni 2.56
W 0.2500 0.2500 0.2500  4 Ni 2.56, 4 Ga 2.56



## YGa6Ni (PBE)

Data for a relaxed YGa6Ni crystal.

Summary:
For the magnetization, the calculation gives 0.0002 μB/atom.

Unit cell a=6.2586 b=6.2586 c=4.2381 alpha=90.00 beta=90.00 gamma=120.00
Last column: nearest neighbours and their distance in Å.
Positions (direct):
Ga 0.3719 0.1859 0.0000  2 Ni 2.65, 6 Ga 2.77-2.80
Ga 0.8141 0.1859 0.0000  2 Ni 2.65, 6 Ga 2.77-2.80
Ga 0.8141 0.6281 0.0000  2 Ni 2.65, 6 Ga 2.77-2.80
Ga 0.1445 0.2890 0.5000  6 Ga 2.71-2.80, 2 Y 2.95
Ga 0.1445 0.8555 0.5000  6 Ga 2.71-2.80, 2 Y 2.95
Ga 0.7110 0.8555 0.5000  6 Ga 2.71-2.80, 2 Y 2.95
Ni 0.6667 0.3333 0.5000  6 Ga 2.65
Y 0.3333 0.6667 0.0000  12 Ga 2.95-3.14



## Y2Ga8Ni (PBE)

Data for a relaxed Y2Ga8Ni crystal.

Summary:
For the magnetization, the calculation gives 0.0002 μB/atom.

Unit cell a=4.2591 b=4.2591 c=11.0581 alpha=90.00 beta=90.00 gamma=90.00
Last column: nearest neighbours and their distance in Å.
Positions (direct):
Ga 0.5000 0.0000 0.1185  2 Ni 2.50, 1 Ga 2.62
Ga 0.0000 0.5000 0.1185  2 Ni 2.50, 1 Ga 2.62
Ga 0.5000 0.5000 0.3022  8 Ga 2.94-3.05, 4 Y 3.01
Ga 0.5000 0.0000 0.5000  8 Ga 3.01-3.05, 4 Y 3.01
Ga 0.0000 0.5000 0.5000  8 Ga 3.01-3.05, 4 Y 3.01
Ga 0.5000 0.5000 0.6978  8 Ga 2.94-3.05, 4 Y 3.01
Ga 0.5000 0.0000 0.8815  2 Ni 2.50, 1 Ga 2.62
Ga 0.0000 0.5000 0.8815  2 Ni 2.50, 1 Ga 2.62
Ni 0.0000 0.0000 0.0000  8 Ga 2.50
Y 0.0000 0.0000 0.3073  12 Ga 2.98-3.01
Y 0.0000 0.0000 0.6927  12 Ga 2.98-3.01



Number 1: calculated total energy -4.80 eV/atom. Number 2: calculated total energy -4.06 eV/atom. Number 3: calculated total energy -5.10 eV/atom. Number 4: calculated total energy -5.44 eV/atom. Number 5: calculated total energy -5.49 eV/atom. Number 6: calculated total energy -7.37 eV/atom. Number 7: calculated total energy -6.49 eV/atom. Number 8: calculated total energy -8.41 eV/atom. Number 9: calculated total energy -6.38 eV/atom. Number 10: calculated total energy -6.71 eV/atom. Number 11: calculated total energy -3.96 eV/atom. Number 12: calculated total energy -4.37 eV/atom.